# Y2SbCl, single point on PBEsol structure, DFT meta-GGA SCAN
# Distance to the lowest polymorph of the same formula   0.144 eV/atom
# D(E_F)   1.668 states/eV per cell
# Total DFT energy (no corrections)   -26.397 eV per atom
# Magnetization   1.5 Bohr magnetons per cell
# ΔE_f (raw)   -4.7 eV per formula unit
data_Y2SbCl
_cell_length_a 5.115
_cell_length_b 5.115
_cell_length_c 3.638
_cell_angle_alpha 90.00
_cell_angle_beta 90.00
_cell_angle_gamma 90.00
_symmetry_space_group_name_H-M 'P 1'
_symmetry_Int_Tables_number 1
loop_
_symmetry_equiv_pos_as_xyz
'x,y,z'
loop_
_atom_site_label
_atom_site_fract_x
_atom_site_fract_y
_atom_site_fract_z
Y1 0.000 0.500 0.000
Y2 0.500 0.000 0.000
Sb1 0.000 0.000 0.500
Cl1 0.500 0.500 0.500